Computed, not measured: a geometry-optimized TaMnZn2 structure at the PBE-GGA level of DFT.

Lattice parameters (Å, degrees): 4.980 4.980 4.767 109.80 109.80 33.00
Sites, in units of the cell vectors:
Ta (0.000, 0.000, 0.000)
Mn (0.751, 0.751, 0.135)
Zn (0.233, 0.233, 0.623)
Zn (0.485, 0.485, 0.492)

Summary:
**Space group**: Cm (8)
**M_tot**: 0.61 μB per atom
**Formation energy from the elements**: 0.50 eV per formula unit
**Excess energy over the best structure of this formula in the dataset**: 76 meV per atom
**Total energy**: -5.77 eV/atom

---

Computed, not measured: a geometry-optimized TaMnZn2 structure at the PBE-GGA level of DFT.

Lattice parameters (Å, degrees): 2.705 4.276 5.218 90.00 102.19 90.00
Sites, in units of the cell vectors:
Ta (0.000, 0.000, 0.000)
Mn (0.000, 0.000, 0.500)
Zn (0.434, 0.500, 0.737)
Zn (0.566, 0.500, 0.263)

Summary:
**Space group**: P2/m (10)
**M_tot**: 0.46 μB per atom
**Formation energy from the elements**: 0.42 eV per formula unit
**Excess energy over the best structure of this formula in the dataset**: 55 meV per atom
**Total energy**: -5.79 eV/atom

---

Computed, not measured: a geometry-optimized TaMnZn2 structure at the PBE-GGA level of DFT.

Lattice parameters (Å, degrees): 3.158 3.158 5.917 90.00 90.00 90.00
Sites, in units of the cell vectors:
Ta (0.000, 0.000, 0.000)
Mn (0.500, 0.500, 0.808)
Zn (0.000, 0.000, 0.534)
Zn (0.500, 0.500, 0.302)

Summary:
**Space group**: P4mm (99)
**M_tot**: 0.00 μB per atom
**Formation energy from the elements**: 0.27 eV per formula unit
**Excess energy over the best structure of this formula in the dataset**: 19 meV per atom
**Total energy**: -5.82 eV/atom

---

Computed, not measured: a geometry-optimized TaMnZn2 structure at the PBE-GGA level of DFT.

Lattice parameters (Å, degrees): 9.120 9.120 9.120 17.93 17.93 17.93
Sites, in units of the cell vectors:
Ta (0.000, 0.000, 0.000)
Mn (0.251, 0.251, 0.251)
Zn (0.505, 0.505, 0.505)
Zn (0.755, 0.755, 0.755)

Summary:
**Space group**: R3m (160)
**M_tot**: 0.73 μB per atom
**Formation energy from the elements**: 0.69 eV per formula unit
**Excess energy over the best structure of this formula in the dataset**: 123 meV per atom
**Total energy**: -5.72 eV/atom

---

Computed, not measured: a geometry-optimized TaMnZn2 structure at the PBE-GGA level of DFT.

Lattice parameters (Å, degrees): 3.549 3.820 4.266 90.00 90.00 90.00
Sites, in units of the cell vectors:
Ta (0.000, 0.000, 0.000)
Mn (0.500, 0.500, 0.000)
Zn (0.000, 0.500, 0.500)
Zn (0.500, 0.000, 0.500)

Summary:
**Space group**: Pmmm (47)
**M_tot**: 0.31 μB per atom
**Formation energy from the elements**: 0.24 eV per formula unit
**Excess energy over the best structure of this formula in the dataset**: 10 meV per atom
**Total energy**: -5.83 eV/atom

---

Computed, not measured: a geometry-optimized TaMnZn2 structure at the PBE-GGA level of DFT.

Lattice parameters (Å, degrees): 4.362 4.362 4.362 60.00 60.00 60.00
Sites, in units of the cell vectors:
Ta (0.000, 0.000, 0.000)
Mn (0.250, 0.250, 0.250)
Zn (0.500, 0.500, 0.500)
Zn (0.750, 0.750, 0.750)

Summary:
**Space group**: F-43m (216)
**M_tot**: 0.41 μB per atom
**Formation energy from the elements**: 0.68 eV per formula unit
**Excess energy over the best structure of this formula in the dataset**: 120 meV per atom
**Total energy**: -5.72 eV/atom